A relaxed structure of AcDyP2Pt2, computed with PBE.

Output
Symmetry: No. 164
Energy of formation, eV per atom: -1.3335
M_tot, μB/f.u.: 0.00

Unit cell a=4.2083 b=4.2083 c=8.1964 alpha=90.00 beta=90.00 gamma=120.00
Positions (direct):
1 Ac 0.0000 0.0000 0.0000
2 Dy 0.0000 0.0000 0.5000
3 P 0.3333 0.6667 0.2649
4 P 0.6667 0.3333 0.7351
5 Pt 0.3333 0.6667 0.7266
6 Pt 0.6667 0.3333 0.2734